# 1
A relaxed FeSi2Te crystal. Source: Alexandria via LeMat-Bulk, functional GGA-PBEsol.

Cell lengths 3.993, 3.993, 5.798 Å; angles 106.37, 106.37, 50.08 degrees
Positions (direct):
Fe 0.000 0.000 0.000
Si 0.266 0.266 0.882
Si 0.503 0.503 0.689
Te 0.763 0.763 0.274

---

# 2
A relaxed TiFeSi3 crystal. Source: Alexandria via LeMat-Bulk, functional GGA-PBEsol.

Cell lengths 4.616, 4.616, 4.616 Å; angles 90.00, 90.00, 90.00 degrees
Positions (direct):
Ti 0.000 0.000 0.000
Fe 0.500 0.500 0.500
Si 0.000 0.000 0.500
Si 0.000 0.500 0.000
Si 0.500 0.000 0.000

---

# 3
A relaxed Ti2FeSi2 crystal. Source: Alexandria via LeMat-Bulk, functional GGA-PBEsol.

Cell lengths 5.976, 5.976, 3.785 Å; angles 90.00, 90.00, 90.00 degrees
Positions (direct):
Ti 0.167 0.333 0.000
Ti 0.333 0.833 0.000
Ti 0.667 0.167 0.000
Ti 0.833 0.667 0.000
Fe 0.000 0.000 0.500
Fe 0.500 0.500 0.500
Si 0.141 0.641 0.500
Si 0.359 0.141 0.500
Si 0.641 0.859 0.500
Si 0.859 0.359 0.500

---

# 4
A relaxed Tm2Fe3Si5 crystal. Source: Alexandria via LeMat-Bulk, functional GGA-PBEsol.

Cell lengths 10.198, 10.198, 5.352 Å; angles 90.00, 90.00, 90.00 degrees
Positions (direct):
Tm 0.069 0.236 0.000
Tm 0.236 0.931 0.000
Tm 0.264 0.431 0.500
Tm 0.431 0.736 0.500
Tm 0.569 0.264 0.500
Tm 0.736 0.569 0.500
Tm 0.764 0.069 0.000
Tm 0.931 0.764 0.000
Fe 0.000 0.500 0.250
Fe 0.000 0.500 0.750
Fe 0.123 0.856 0.500
Fe 0.144 0.123 0.500
Fe 0.356 0.623 0.000
Fe 0.377 0.356 0.000
Fe 0.500 0.000 0.250
Fe 0.500 0.000 0.750
Fe 0.623 0.644 0.000
Fe 0.644 0.377 0.000
Fe 0.856 0.877 0.500
Fe 0.877 0.144 0.500
Si 0.000 0.000 0.261
Si 0.000 0.000 0.739
Si 0.024 0.319 0.500
Si 0.178 0.678 0.250
Si 0.178 0.678 0.750
Si 0.181 0.476 0.000
Si 0.319 0.976 0.500
Si 0.322 0.178 0.250
Si 0.322 0.178 0.750
Si 0.476 0.819 0.000
Si 0.500 0.500 0.239
Si 0.500 0.500 0.761
Si 0.524 0.181 0.000
Si 0.678 0.822 0.250
Si 0.678 0.822 0.750
Si 0.681 0.024 0.500
Si 0.819 0.524 0.000
Si 0.822 0.322 0.250
Si 0.822 0.322 0.750
Si 0.976 0.681 0.500

---

What D(E_F) values result from the calculations? In sequence: 2.62; 7.46; 6.25; 21.34 states/eV/cell.
What raw formation energy values result from the calculations? In sequence: 70.1; 1055.2; -749.3; -802.1 meV per atom.
What magnetic moment values result from the calculations? In sequence: 0.004; 3.388; 1.548; 0.004 μB/cell.